Material: TbPm2Ag2Sn2
Method: DFT, PBE
State: relaxed

a b c (Å): 4.8219 4.8219 9.6540
angles (deg): 75.54 75.54 60.00
Closest atoms and distances in Å follow each position.
Sites, in units of the cell vectors:
Tb 0.0000 0.0000 0.0000  6 Ag 3.25, 6 Sn 3.39, 2 Pm 3.53
Ag 0.3936 0.3936 0.8193  3 Sn 2.80
Ag 0.6064 0.6064 0.1807  3 Sn 2.80
Pm 0.8726 0.8726 0.3821  3 Sn 3.21, 3 Ag 3.35, 1 Tb 3.53, 3 Pm 3.54
Pm 0.1274 0.1274 0.6179  3 Sn 3.21, 3 Ag 3.35, 1 Tb 3.53, 3 Pm 3.54
Sn 0.2635 0.2635 0.2095  3 Ag 2.80
Sn 0.7365 0.7365 0.7905  3 Ag 2.80

Output
- calculated total energy (eV/atom) = -4.39
- calculated formation energy (kJ/mol of formula units) = -276

---

Material: Cs3K12Hg5
Method: DFT, PBE
State: relaxed

a b c (Å): 19.7750 19.7750 19.7750
angles (deg): 109.47 109.47 109.47
Closest atoms and distances in Å follow each position.
Sites, in units of the cell vectors:
K 0.1094 0.9249 0.4264  2 Hg 3.42-3.44
K 0.3155 0.8170 0.3906  2 Hg 3.42-3.44
K 0.4264 0.4249 0.1094  2 Hg 3.42-3.44
K 0.8170 0.3155 0.8906  2 Hg 3.42-3.44
K 0.8155 0.8906 0.3170  2 Hg 3.42-3.44
K 0.6830 0.0736 0.9985  2 Hg 3.42-3.44
K 0.9985 0.5736 0.6830  2 Hg 3.42-3.44
K 0.0736 0.3906 0.0751  2 Hg 3.42-3.44
K 0.5736 0.9985 0.1830  2 Hg 3.42-3.44
K 0.5736 0.5751 0.8906  2 Hg 3.42-3.44
K 0.1845 0.0751 0.0015  2 Hg 3.42-3.44
K 0.8155 0.9249 0.9985  2 Hg 3.42-3.44
K 0.4985 0.3155 0.9249  2 Hg 3.42-3.44
K 0.5751 0.5736 0.3906  2 Hg 3.42-3.44
K 0.9264 0.6094 0.9249  2 Hg 3.42-3.44
K 0.3155 0.4985 0.4249  2 Hg 3.42-3.44
K 0.0751 0.1845 0.5015  2 Hg 3.42-3.44
K 0.1845 0.1094 0.6830  2 Hg 3.42-3.44
K 0.9985 0.4249 0.8155  2 Hg 3.42-3.44
K 0.0751 0.8906 0.0736  2 Hg 3.42-3.44
K 0.4985 0.1830 0.0736  2 Hg 3.42-3.44
K 0.3906 0.0736 0.5751  2 Hg 3.42-3.44
K 0.8170 0.5015 0.4264  2 Hg 3.42-3.44
K 0.1830 0.6845 0.1094  2 Hg 3.42-3.44
K 0.4264 0.0015 0.8170  2 Hg 3.42-3.44
K 0.9249 0.8155 0.4985  2 Hg 3.42-3.44
K 0.8906 0.8155 0.8170  2 Hg 3.42-3.44
K 0.6845 0.5015 0.5751  2 Hg 3.42-3.44
K 0.0015 0.5751 0.1845  2 Hg 3.42-3.44
K 0.6094 0.6830 0.6845  2 Hg 3.42-3.44
K 0.3170 0.9264 0.0015  2 Hg 3.42-3.44
K 0.5015 0.8170 0.9264  2 Hg 3.42-3.44
K 0.3170 0.3906 0.8155  2 Hg 3.42-3.44
K 0.5015 0.6845 0.0751  2 Hg 3.42-3.44
K 0.4249 0.9985 0.3155  2 Hg 3.42-3.44
K 0.3906 0.3170 0.3155  2 Hg 3.42-3.44
K 0.8906 0.0751 0.5736  2 Hg 3.42-3.44
K 0.0736 0.6830 0.4985  2 Hg 3.42-3.44
K 0.6094 0.9264 0.4249  2 Hg 3.42-3.44
K 0.6845 0.1830 0.6094  2 Hg 3.42-3.44
K 0.4249 0.4264 0.6094  2 Hg 3.42-3.44
K 0.9264 0.3170 0.5015  2 Hg 3.42-3.44
K 0.5751 0.0015 0.6845  2 Hg 3.42-3.44
K 0.6830 0.6094 0.1845  2 Hg 3.42-3.44
K 0.1830 0.4985 0.5736  2 Hg 3.42-3.44
K 0.1094 0.1845 0.1830  2 Hg 3.42-3.44
K 0.0015 0.4264 0.3170  2 Hg 3.42-3.44
K 0.9249 0.1094 0.9264  2 Hg 3.42-3.44
Hg 0.3750 0.1250 0.7500  4 K 3.42
Hg 0.0000 0.5000 0.0000  6 K 3.44
Hg 0.1250 0.3750 0.2500  4 K 3.42
Hg 0.1250 0.7500 0.3750  4 K 3.42
Hg 0.6250 0.8750 0.2500  4 K 3.42
Hg 0.0000 0.5000 0.5000  6 K 3.44
Hg 0.7500 0.6250 0.3750  4 K 3.42
Hg 0.5000 0.5000 0.0000  6 K 3.44
Hg 0.6250 0.7500 0.8750  4 K 3.42
Hg 0.2500 0.3750 0.6250  4 K 3.42
Hg 0.3750 0.2500 0.1250  4 K 3.42
Hg 0.5000 0.0000 0.0000  6 K 3.44
Hg 0.5000 0.0000 0.5000  6 K 3.44
Hg 0.5000 0.5000 0.5000  6 K 3.44
Hg 0.8750 0.2500 0.6250  4 K 3.42
Hg 0.0000 0.0000 0.5000  6 K 3.44
Hg 0.7500 0.1250 0.8750  4 K 3.42
Hg 0.0000 0.0000 0.0000  6 K 3.44
Hg 0.8750 0.6250 0.7500  4 K 3.42
Hg 0.2500 0.8750 0.1250  4 K 3.42
Cs 0.8750 0.1250 0.2500  8 K 4.65-5.11
Cs 0.1250 0.8750 0.7500  8 K 4.65-5.11
Cs 0.3750 0.6250 0.2500  8 K 4.65-5.11
Cs 0.3750 0.7500 0.6250  8 K 4.65-5.11
Cs 0.6250 0.3750 0.7500  8 K 4.65-5.11
Cs 0.1250 0.2500 0.8750  8 K 4.65-5.11
Cs 0.6250 0.2500 0.3750  8 K 4.65-5.11
Cs 0.7500 0.3750 0.1250  8 K 4.65-5.11
Cs 0.2500 0.1250 0.3750  8 K 4.65-5.11
Cs 0.8750 0.7500 0.1250  8 K 4.65-5.11
Cs 0.7500 0.8750 0.6250  8 K 4.65-5.11
Cs 0.2500 0.6250 0.8750  8 K 4.65-5.11

Output
- calculated total energy (eV/atom) = -0.86
- calculated formation energy (kJ/mol of formula units) = -1

---

Number 1: total moment 0.00 μB/f.u., volume 26.6 Å³/atom. Number 2: total moment 0.00 μB/f.u., volume 74.4 Å³/atom.